# 1
{"formula": "CoSn3Cl", "functional": "PBEsol", "state": "relaxed", "magmom_total_mub_per_cell": 2.02, "vol_a3_per_atom": 28.13, "sg": "Pm-3m", "e_form_raw_mev_per_atom": 1052, "e_tot_ev_per_fu": -17.3, "dos_ef_per_ev_atom": 1.00, "cell": [[5.2007, 0.0000, 0.0000], [0.0000, 5.2007, 0.0000], [0.0000, 0.0000, 5.2007]], "species": ["Co", "Sn", "Sn", "Sn", "Cl"], "frac_coords": [[0.0000, 0.0000, 0.0000], [0.0000, 0.5000, 0.5000], [0.5000, 0.0000, 0.5000], [0.5000, 0.5000, 0.0000], [0.5000, 0.5000, 0.5000]]}



# 2
{"formula": "Sr2CoCl", "functional": "PBEsol", "state": "relaxed", "magmom_total_mub_per_cell": 0.39, "vol_a3_per_atom": 26.59, "sg": "P4/mmm", "e_form_raw_mev_per_atom": -474, "e_tot_ev_per_fu": -15.3, "dos_ef_per_ev_atom": 1.01, "cell": [[4.2598, 0.0000, 0.0000], [0.0000, 4.2598, 0.0000], [0.0000, 0.0000, 5.8618]], "species": ["Sr", "Sr", "Co", "Cl"], "frac_coords": [[0.0000, 0.0000, 0.0000], [0.5000, 0.5000, 0.5000], [0.0000, 0.0000, 0.5000], [0.5000, 0.5000, 0.0000]]}